Below is a geometry-optimized TbCuHg5 structure, with properties calculated at the PBE level.

Summary:
E ... -11.43 eV per formula unit
Magnetization ... 0.00 μB/cell
Calculated volume ... 23.38 A^3/atom
Energy relative to the elements ... -0.17 eV per atom

abc: 4.7351 4.7351 7.3002
angles: 90.00 90.00 90.00
Closest atoms and distances in Å follow each position.
Space group P4/mmm (No. 123)
Asymmetric unit:
Tb (0.0000, 0.0000, 0.0000)  12 Hg 3.21-3.35
Cu (0.0000, 0.0000, 0.5000)  8 Hg 2.80
Hg (0.0000, 0.5000, 0.2962)  2 Cu 2.80, 1 Hg 2.98
Hg (0.5000, 0.5000, 0.0000)  8 Hg 3.21, 4 Tb 3.35